TiAgClO2 | PBE | optimized geometry

It has space group P2_1/m (No. 11), with a = 6.5097 Å, b = 3.6902 Å, c = 7.9391 Å, α = 90.00°, β = 95.52° and γ = 90.00°. The asymmetric unit holds Ti at (0.0535, 0.2500, 0.3575), Ag at (0.3304, 0.2500, 0.9181), Cl at (0.3889, 0.2500, 0.2456), O at (0.0943, 0.7500, 0.4320) and O at (0.1276, 0.7500, 0.8132).

As for the total energy: -6.33 eV/atom.

***

AlZnCl2 | PBE | optimized geometry

It has space group I-4m2 (No. 119), with a = 3.9036 Å, b = 3.9036 Å, c = 12.8814 Å, α = 90.00°, β = 90.00° and γ = 90.00°. The asymmetric unit holds Al at (0.0000, 0.0000, 0.0000), Zn at (0.0000, 0.5000, 0.2500), Cl at (0.0000, 0.0000, 0.5000) and Cl at (0.0000, 0.5000, 0.7500).

Its offset from the most stable computed form is 47.36 kJ per mole of atoms.

***

TmUSn2 | PBE | optimized geometry

It has space group P4/mmm (No. 123), with a = 3.3359 Å, b = 3.3359 Å, c = 9.1021 Å, α = 90.00°, β = 90.00° and γ = 90.00°. The asymmetric unit holds Tm at (0.0000, 0.0000, 0.0000), U at (0.0000, 0.0000, 0.5000) and Sn at (0.5000, 0.5000, 0.2455).

Its offset from the most stable computed form is 0.00 kJ per mole of atoms.

***

PrHfAs2 | PBE | optimized geometry

It has space group R3m (No. 160, hexagonal axes), with a = 3.9652 Å, b = 3.9652 Å, c = 21.0225 Å, α = 90.00°, β = 90.00° and γ = 120.00°. The asymmetric unit holds Pr at (0.0000, 0.0000, 0.0000), Hf at (0.0000, 0.0000, 0.1731), As at (0.0000, 0.0000, 0.5757) and As at (0.0000, 0.0000, 0.7644).

Its offset from the most stable computed form is 6.89 kJ per mole of atoms.

***

PrPuIr | PBE | optimized geometry

It has space group P-62m (No. 189), with a = 7.3628 Å, b = 7.3628 Å, c = 4.7857 Å, α = 90.00°, β = 90.00° and γ = 120.00°. The asymmetric unit holds Pr at (0.0000, 0.5829, 0.0000), Pu at (0.0000, 0.2500, 0.5000), Ir at (0.0000, 0.0000, 0.0000) and Ir at (0.3333, 0.6667, 0.5000).

Its offset from the most stable computed form is 0.00 kJ per mole of atoms.

***

Mg2ScNi9 | PBE | optimized geometry

It has space group R-3m (No. 166, hexagonal axes), with a = 4.7877 Å, b = 4.7877 Å, c = 23.6092 Å, α = 90.00°, β = 90.00° and γ = 120.00°. The asymmetric unit holds Mg at (0.0000, 0.0000, 0.1427), Sc at (0.0000, 0.0000, 0.0000), Ni at (0.0000, 0.0000, 0.3337), Ni at (0.0000, 0.0000, 0.5000) and Ni at (0.0024, 0.5012, 0.9163).

As for the total energy: -5.38 eV/atom.

***

AcNdPu | PBE | optimized geometry

It has space group I4mm (No. 107), with a = 3.7205 Å, b = 3.7205 Å, c = 15.4977 Å, α = 90.00°, β = 90.00° and γ = 90.00°. The asymmetric unit holds Ac at (0.0000, 0.0000, 0.0000), Nd at (0.0000, 0.0000, 0.3223) and Pu at (0.0000, 0.0000, 0.6677).

Its offset from the most stable computed form is 0.00 kJ per mole of atoms.

***

LaInTe | PBE | optimized geometry

It has space group I4mm (No. 107), with a = 4.0454 Å, b = 4.0454 Å, c = 11.1733 Å, α = 90.00°, β = 90.00° and γ = 90.00°. The asymmetric unit holds La at (0.0000, 0.0000, 0.0000), In at (0.0000, 0.0000, 0.3237) and Te at (0.0000, 0.0000, 0.6504).

As for the total energy: -4.33 eV/atom.